First-principles (PBE) data for a relaxed structure of AcDy2Y6Ho, as listed in Alexandria.

a b c (Å): 9.539 8.940 8.940
angles (deg): 117.41 92.65 92.65
Sites, in units of the cell vectors:
Ho1 0.750 0.587 0.413
Ac1 0.750 0.031 0.969
Ac2 0.250 0.969 0.031
Dy1 0.052 0.314 0.202
Y1 0.058 0.128 0.754
Y2 0.182 0.555 0.010
Y3 0.387 0.511 0.288
Y4 0.887 0.288 0.511
Y5 0.318 0.990 0.445
Y6 0.942 0.872 0.246
Y7 0.113 0.712 0.489
Dy2 0.552 0.202 0.314
Dy3 0.948 0.686 0.798
Y8 0.682 0.010 0.555
Y9 0.558 0.754 0.128
Y10 0.613 0.489 0.712
Y11 0.442 0.246 0.872
Dy4 0.448 0.798 0.686
Y12 0.818 0.445 0.990
Ho2 0.250 0.413 0.587

Calculated values
ΔE_f, eV per atom: 0.13
Magnetic moment, μB/atom: 0.000
SG: No. 15
Total DFT energy (no corrections), eV for the cell shown: -110.8
Volume, Å³ per cell: 674